#1
Density functional theory data (PBEsol) for a relaxed SrLi2Cu crystal.

Values from the calculation:
Calculated volume ... 23.0 A^3/atom
Crystal system ... tetragonal

Lattice parameters (Å, degrees): 5.060 5.060 5.060 90.39 119.78 119.78
Atoms (fractional coordinates):
Cu1 0.500 0.250 0.750
Li1 0.000 0.000 0.000
Li2 0.500 0.750 0.250
Sr1 0.000 0.500 0.500

#2
Density functional theory data (PBEsol) for a relaxed SrLi2Cu crystal.

Values from the calculation:
Calculated volume ... 23.5 A^3/atom
Crystal system ... trigonal

Lattice parameters (Å, degrees): 4.478 4.478 6.000 68.09 68.09 60.00
Atoms (fractional coordinates):
Sr1 0.497 0.497 0.509
Cu1 0.697 0.697 0.909
Li1 0.014 0.014 0.957
Li2 0.302 0.302 0.094

Relative energies in meV per atom: #1 101; #2 0

#1
Density functional theory data (PBEsol) for a relaxed Li2TaCu crystal.

Values from the calculation:
Calculated volume ... 15.1 A^3/atom
Crystal system ... monoclinic

Lattice parameters (Å, degrees): 2.547 4.779 5.625 114.50 101.97 92.56
Atoms (fractional coordinates):
Cu1 0.000 0.500 0.000
Li1 0.000 0.000 0.500
Li2 0.500 0.500 0.500
Ta1 0.500 0.000 0.000

#2
Density functional theory data (PBEsol) for a relaxed Li2TaCu crystal.

Values from the calculation:
Calculated volume ... 15.6 A^3/atom
Crystal system ... orthorhombic

Lattice parameters (Å, degrees): 2.659 2.659 9.321 90.00 90.00 108.39
Atoms (fractional coordinates):
Cu1 0.500 0.500 0.247
Li1 0.000 0.000 0.027
Li2 0.500 0.500 0.748
Ta1 0.000 0.000 0.479

Relative energies in meV per atom: #1 142; #2 0

#1
Density functional theory data (PBEsol) for a relaxed LiTa2Cu crystal.

Values from the calculation:
Calculated volume ... 14.7 A^3/atom
Crystal system ... tetragonal

Lattice parameters (Å, degrees): 3.894 3.883 3.883 90.00 90.00 90.00
Atoms (fractional coordinates):
Cu1 0.500 0.500 0.500
Li1 0.500 0.000 0.000
Ta1 0.000 0.000 0.500
Ta2 0.000 0.500 0.000

#2
Density functional theory data (PBEsol) for a relaxed LiTa2Cu crystal.

Values from the calculation:
Calculated volume ... 14.7 A^3/atom
Crystal system ... orthorhombic

Lattice parameters (Å, degrees): 2.786 4.759 4.759 110.88 90.00 90.00
Atoms (fractional coordinates):
Cu1 0.500 0.000 0.000
Li1 0.500 0.500 0.500
Ta1 0.000 0.500 0.000
Ta2 0.000 0.000 0.500

Relative energies in meV per atom: #1 0; #2 36

#1
Density functional theory data (PBEsol) for a relaxed LiCu2Tc crystal.

Values from the calculation:
Calculated volume ... 12.4 A^3/atom
Crystal system ... cubic

Lattice parameters (Å, degrees): 4.128 4.128 4.128 60.00 60.00 60.00
Atoms (fractional coordinates):
Tc1 0.500 0.500 0.500
Cu1 0.250 0.250 0.250
Cu2 0.750 0.750 0.750
Li1 0.000 0.000 0.000

#2
Density functional theory data (PBEsol) for a relaxed LiCu2Tc crystal.

Values from the calculation:
Calculated volume ... 12.4 A^3/atom
Crystal system ... monoclinic

Lattice parameters (Å, degrees): 2.450 4.370 4.624 90.00 90.03 90.00
Atoms (fractional coordinates):
Cu1 0.875 0.000 0.946
Cu2 0.874 0.500 0.304
Li1 0.377 0.000 0.441
Tc1 0.374 0.500 0.809

Relative energies in meV per atom: #1 255; #2 0